Sr2Li3MoO6: optimized geometry, PBE+U.

Output
E, Ha/atom: -0.220

abc: 6.180 6.180 5.266
angles: 98.20 98.20 124.45
Sites, in units of the cell vectors:
Sr  0.171  0.829  0.000
Sr  0.829  0.171  0.000
Li  0.000  0.000  0.500
Li  0.392  0.608  0.500
Li  0.608  0.392  0.500
Mo  0.500  0.500  0.000
O  0.172  0.437  0.763
O  0.268  0.268  0.233
O  0.437  0.172  0.763
O  0.563  0.828  0.237
O  0.732  0.732  0.767
O  0.828  0.563  0.237